[1]
Entry from the Alexandria database: crystalline SrAcGaAu at its relaxed geometry (PBE-GGA).

Computed properties:
magnetic moment = 0.0 μB per formula unit
energy of formation = -0.588 eV/atom
energy relative to the lowest polymorph listed for this composition = 0.0 meV/atom
V = 30.82 Å³ per atom
calculated total energy = -14.445 eV for the cell shown

Lattice parameters (Å, degrees): 4.744 6.175 6.175 42.97 90.00 90.00
Sites, in units of the cell vectors:
Sr1 0.000 0.000 0.000
Ac1 0.500 0.719 0.719
Ga1 0.000 0.290 0.290
Au1 0.500 0.427 0.427

[2]
Entry from the Alexandria database: crystalline Li4Mg5 at its relaxed geometry (PBE-GGA).

Computed properties:
magnetic moment = 0.0 μB per formula unit
energy of formation = -0.044 eV/atom
energy relative to the lowest polymorph listed for this composition = 12.3 meV/atom
V = 21.20 Å³ per atom
calculated total energy = -16.021 eV for the cell shown

Lattice parameters (Å, degrees): 6.866 6.866 6.866 96.29 96.29 141.33
Sites, in units of the cell vectors:
Li1 0.000 0.333 0.333
Li2 0.000 0.667 0.667
Li3 0.333 0.000 0.333
Li4 0.667 0.000 0.667
Mg1 0.000 0.000 0.000
Mg2 0.331 0.331 0.662
Mg3 0.331 0.669 0.000
Mg4 0.669 0.331 0.000
Mg5 0.669 0.669 0.338

[3]
Entry from the Alexandria database: crystalline Ca2GeAu6 at its relaxed geometry (PBE-GGA).

Computed properties:
magnetic moment = 0.0 μB per formula unit
energy of formation = -0.469 eV/atom
energy relative to the lowest polymorph listed for this composition = 45.3 meV/atom
V = 21.85 Å³ per atom
calculated total energy = -32.509 eV for the cell shown

Lattice parameters (Å, degrees): 6.527 6.527 6.527 60.00 60.00 60.00
Sites, in units of the cell vectors:
Ca1 0.250 0.250 0.250
Ca2 0.750 0.750 0.750
Ge1 0.000 0.000 0.000
Au1 0.276 0.276 0.724
Au2 0.276 0.724 0.276
Au3 0.276 0.724 0.724
Au4 0.724 0.276 0.276
Au5 0.724 0.276 0.724
Au6 0.724 0.724 0.276

[4]
Entry from the Alexandria database: crystalline KReHg2 at its relaxed geometry (PBE-GGA).

Computed properties:
magnetic moment = 1.9 μB per formula unit
energy of formation = 1.028 eV/atom
energy relative to the lowest polymorph listed for this composition = 316.9 meV/atom
V = 36.15 Å³ per atom
calculated total energy = -20.073 eV for the cell shown

Lattice parameters (Å, degrees): 9.716 9.716 9.716 145.75 145.75 49.22
Sites, in units of the cell vectors:
K1 0.000 0.000 0.000
K2 0.750 0.250 0.500
Re1 0.250 0.750 0.500
Re2 0.500 0.500 0.000
Hg1 0.286 0.625 0.161
Hg2 0.375 0.536 0.661
Hg3 0.464 0.125 0.839
Hg4 0.875 0.714 0.339